The following is a GGA-PBE calculation of a relaxed NiMo2As2 crystal, from Alexandria via LeMat-Bulk.

Structure (POSCAR):
```
NiMo2As2
1.0
6.911 0.000 0.000
0.000 6.911 0.000
0.000 0.000 3.275
Ni Mo As
2 4 4
Cartesian
0.000 0.000 0.000
3.455 3.455 0.000
0.991 2.464 0.000
2.464 5.920 0.000
4.446 0.991 0.000
5.920 4.446 0.000
1.066 4.521 1.638
2.390 1.066 1.638
4.521 5.845 1.638
5.845 2.390 1.638
```

Values from the calculation:
DOS at the Fermi energy: 6.303 states/eV/cell
Space group: No. 127
Offset from the most stable computed form: 0.000 eV per atom
Uncorrected energy: -7.262 eV/atom
ΔH_f (0 K): 0.086 eV/atom

The following is a GGA-PBE calculation of a relaxed Ni2MoAs crystal, from Alexandria via LeMat-Bulk.

Structure (POSCAR):
```
Ni2MoAs
1.0
4.477 -1.415 0.000
4.477 1.415 0.000
-1.532 0.000 4.185
Ni Mo As
2 1 1
Cartesian
0.000 0.000 0.000
0.935 0.000 3.543
3.508 0.000 2.088
5.938 0.000 1.324
```

Values from the calculation:
DOS at the Fermi energy: 3.598 states/eV/cell
Space group: No. 8
Uncorrected energy: -6.740 eV/atom
ΔH_f (0 K): 0.021 eV/atom

The following is a GGA-PBE calculation of a relaxed NiMo2As crystal, from Alexandria via LeMat-Bulk.

Structure (POSCAR):
```
NiMo2As
1.0
-2.773 2.773 5.354
2.773 -2.773 5.354
2.773 2.773 -5.354
Ni Mo As
2 4 2
Cartesian
0.000 0.000 0.000
0.000 2.773 2.677
4.159 1.226 -1.338
1.226 1.386 1.338
-1.386 1.546 4.015
1.546 1.386 6.692
2.773 0.000 2.677
0.000 0.000 5.354
```

Values from the calculation:
DOS at the Fermi energy: 3.727 states/eV/cell
Space group: No. 122
Uncorrected energy: -7.025 eV/atom
ΔH_f (0 K): 0.998 eV/atom

The following is a GGA-PBE calculation of a relaxed NiMo2As crystal, from Alexandria via LeMat-Bulk.

Structure (POSCAR):
```
NiMo2As
1.0
2.664 -4.006 0.000
2.664 4.006 0.000
-0.674 0.000 2.726
Ni Mo As
1 2 1
Cartesian
0.000 0.000 0.000
0.995 2.003 1.363
0.995 -2.003 1.363
2.664 0.000 0.000
```

Values from the calculation:
DOS at the Fermi energy: 3.770 states/eV/cell
Space group: No. 12
Uncorrected energy: -7.867 eV/atom
ΔH_f (0 K): 0.156 eV/atom

The following is a GGA-PBE calculation of a relaxed Ni2MoAs crystal, from Alexandria via LeMat-Bulk.

Structure (POSCAR):
```
Ni2MoAs
1.0
2.777 0.000 0.000
0.000 2.777 0.000
0.000 0.000 6.967
Ni Mo As
2 1 1
Cartesian
0.000 0.000 1.690
0.000 0.000 5.277
1.389 1.389 3.483
1.389 1.389 0.000
```

Values from the calculation:
DOS at the Fermi energy: 4.762 states/eV/cell
Space group: No. 123
Uncorrected energy: -6.699 eV/atom
ΔH_f (0 K): 0.062 eV/atom

The following is a GGA-PBE calculation of a relaxed Ni2MoAs crystal, from Alexandria via LeMat-Bulk.

Structure (POSCAR):
```
Ni2MoAs
1.0
3.027 0.000 0.000
0.000 3.027 0.000
0.000 0.000 5.738
Ni Mo As
2 1 1
Cartesian
0.000 0.000 0.000
1.513 1.513 1.344
1.513 1.513 4.286
0.000 0.000 2.559
```

Values from the calculation:
DOS at the Fermi energy: 4.131 states/eV/cell
Space group: No. 99
Uncorrected energy: -6.742 eV/atom
ΔH_f (0 K): 0.019 eV/atom

The following is a GGA-PBE calculation of a relaxed NiMoAs crystal, from Alexandria via LeMat-Bulk.

Structure (POSCAR):
```
NiMoAs
1.0
-1.548 1.548 4.382
1.548 -1.548 4.382
1.548 1.548 -4.382
Ni Mo As
1 1 1
Cartesian
0.000 0.000 0.000
0.000 0.000 2.822
0.000 0.000 5.678
```

Values from the calculation:
DOS at the Fermi energy: 3.328 states/eV/cell
Space group: No. 107
Uncorrected energy: -7.021 eV/atom
ΔH_f (0 K): 0.066 eV/atom

The following is a GGA-PBE calculation of a relaxed NiMo2As crystal, from Alexandria via LeMat-Bulk.

Structure (POSCAR):
```
NiMo2As
1.0
2.795 0.000 0.000
0.000 3.963 0.000
-1.269 0.000 5.287
Ni Mo As
1 2 1
Cartesian
0.000 0.000 0.000
0.272 1.981 3.999
1.253 1.981 1.288
-0.635 0.000 2.643
```

Values from the calculation:
DOS at the Fermi energy: 3.276 states/eV/cell
Space group: No. 10
Uncorrected energy: -7.916 eV/atom
ΔH_f (0 K): 0.107 eV/atom

The following is a GGA-PBE calculation of a relaxed NiMoAs crystal, from Alexandria via LeMat-Bulk.

Structure (POSCAR):
```
NiMoAs
1.0
3.959 0.000 0.000
-1.979 3.428 0.000
0.000 0.000 3.111
Ni Mo As
1 1 1
Cartesian
0.000 0.000 0.000
0.000 2.286 1.557
1.979 1.143 0.005
```

Values from the calculation:
DOS at the Fermi energy: 3.133 states/eV/cell
Space group: No. 156
Uncorrected energy: -7.057 eV/atom
ΔH_f (0 K): 0.031 eV/atom

The following is a GGA-PBE calculation of a relaxed Ni2MoAs crystal, from Alexandria via LeMat-Bulk.

Structure (POSCAR):
```
Ni2MoAs
1.0
1.406 0.811 7.988
-1.406 0.811 7.988
0.000 -1.623 7.988
Ni Mo As
2 1 1
Cartesian
0.000 0.000 0.000
0.000 0.000 6.014
0.000 0.000 17.982
0.000 0.000 12.212
```

Values from the calculation:
DOS at the Fermi energy: 5.073 states/eV/cell
Space group: No. 160
Uncorrected energy: -6.563 eV/atom
ΔH_f (0 K): 0.197 eV/atom

The following is a GGA-PBE calculation of a relaxed Ni2MoAs crystal, from Alexandria via LeMat-Bulk.

Structure (POSCAR):
```
Ni2MoAs
1.0
-1.844 1.844 3.878
1.844 -1.844 3.878
1.844 1.844 -3.878
Ni Mo As
2 1 1
Cartesian
1.844 0.000 1.939
0.000 1.844 1.939
0.000 0.000 0.000
0.000 0.000 3.878
```

Values from the calculation:
DOS at the Fermi energy: 5.937 states/eV/cell
Space group: No. 139
Uncorrected energy: -6.676 eV/atom
ΔH_f (0 K): 0.085 eV/atom

The following is a GGA-PBE calculation of a relaxed NiMoAsRh crystal, from Alexandria via LeMat-Bulk.

Structure (POSCAR):
```
NiMoAsRh
1.0
0.000 3.026 3.026
3.026 0.000 3.026
3.026 3.026 0.000
Ni Mo As Rh
1 1 1 1
Cartesian
0.000 0.000 0.000
1.513 1.513 1.513
3.026 3.026 3.026
4.539 4.539 4.539
```

Values from the calculation:
DOS at the Fermi energy: 4.097 states/eV/cell
Space group: No. 216
Uncorrected energy: -7.264 eV/atom
ΔH_f (0 K): -0.111 eV/atom

The following is a GGA-PBE calculation of a relaxed NiMoAs2Se crystal, from Alexandria via LeMat-Bulk.

Structure (POSCAR):
```
NiMoAs2Se
1.0
4.506 0.000 0.000
0.000 4.506 0.000
0.000 0.000 4.809
Ni Mo As Se
1 1 2 1
Cartesian
0.000 0.000 0.000
2.253 2.253 2.404
0.000 2.253 0.000
2.253 0.000 0.000
0.000 0.000 2.404
```

Values from the calculation:
DOS at the Fermi energy: 2.808 states/eV/cell
Space group: No. 123
Offset from the most stable computed form: 0.000 eV per atom
Uncorrected energy: -5.147 eV/atom
Formation energy (no corrections): 732 meV/atom

The following is a GGA-PBE calculation of a relaxed Ni7Sn2MoAs2 crystal, from Alexandria via LeMat-Bulk.

Structure (POSCAR):
```
Ni7Sn2MoAs2
1.0
2.547 -2.548 0.000
2.547 2.548 0.000
-2.516 0.000 14.658
Ni Sn Mo As
7 2 1 2
Cartesian
0.000 0.000 0.000
1.274 1.274 1.834
0.015 0.000 5.666
1.305 1.274 12.825
1.274 -1.274 1.834
2.563 0.000 8.992
1.305 -1.274 12.825
0.016 0.000 8.408
2.562 0.000 6.250
2.547 0.000 0.000
0.001 0.000 3.373
2.578 0.000 11.285
```

Values from the calculation:
DOS at the Fermi energy: 8.389 states/eV/cell
Space group: No. 12
Uncorrected energy: -5.836 eV/atom
ΔH_f (0 K): -0.119 eV/atom

The following is a GGA-PBE calculation of a relaxed NpMoAs2 crystal, from Alexandria via LeMat-Bulk.

Structure (POSCAR):
```
NpMoAs2
1.0
1.451 0.838 10.100
-1.451 0.838 10.100
0.000 -1.676 10.100
Np Mo As
1 1 2
Cartesian
0.000 0.000 0.000
0.000 0.000 15.150
0.000 0.000 12.578
0.000 0.000 17.722
```

Values from the calculation:
DOS at the Fermi energy: 6.102 states/eV/cell
Space group: No. 166
Offset from the most stable computed form: 0.549 eV per atom
Uncorrected energy: -7.968 eV/atom
ΔH_f (0 K): 0.299 eV/atom

The following is a GGA-PBE calculation of a relaxed NpMoAs2 crystal, from Alexandria via LeMat-Bulk.

Structure (POSCAR):
```
NpMoAs2
1.0
3.205 0.000 0.000
0.000 3.205 0.000
0.000 0.000 7.102
Np Mo As
1 1 2
Cartesian
0.000 0.000 0.000
0.000 0.000 3.551
1.602 1.602 2.068
1.602 1.602 5.033
```

Values from the calculation:
DOS at the Fermi energy: 6.469 states/eV/cell
Space group: No. 123
Offset from the most stable computed form: 0.000 eV per atom
Uncorrected energy: -8.517 eV/atom
ΔH_f (0 K): -0.249 eV/atom